(1)
TlS2ClF | the Alexandria database | SCAN | PBEsol geometry; density of states at the Fermi level = 4.44 states/eV per cell; theoretical density = 5.20 g/cm³; space group = No. 123; raw formation energy = 0.150 eV per atom
1.0
-0.0571 -3.6790 -1.9211
2.2975 1.5721 -3.0789
4.9869 -1.5953 2.9067
Tl F S Cl
1 1 2 1
Direct
0.5000 0.5000 0.5000
0.0000 0.0000 0.0000
0.0000 0.5000 0.0000
0.5000 0.0000 0.0000
0.0000 0.0000 0.5000

(2)
BaCdNi2 | the Alexandria database | SCAN | PBEsol geometry; density of states at the Fermi level = 2.20 states/eV per cell; calculated formation energy = 4.13 kJ/mol of atoms; theoretical density = 6.85 g/cm³; space group = No. 8
1.0
4.1879 0.0021 -0.0026
-2.0922 3.6313 -0.0212
-0.0048 -2.3747 5.8658
Ba Cd Ni
1 1 2
Direct
0.5128 0.0264 0.5390
0.7011 0.4015 0.1029
0.9782 0.9563 0.9346
0.3079 0.6158 0.9235

(3)
LaYF2 | the Alexandria database | SCAN | PBEsol geometry; density of states at the Fermi level = 1.93 states/eV per cell; energy relative to the lowest polymorph listed for this composition = 0 meV/atom; theoretical density = 5.35 g/cm³; space group = No. 166; raw formation energy = -2.591 eV per atom
1.0
-1.8558 0.1573 2.9616
-2.6122 -2.2614 0.5497
3.4963 -5.6373 4.5567
Y F La
1 2 1
Direct
0.0000 0.0000 0.0000
0.9069 0.9069 0.2792
0.0931 0.0931 0.7208
0.5000 0.5000 0.5000

(4)
Tl2RhBr | the Alexandria database | SCAN | PBEsol geometry; density of states at the Fermi level = 1.79 states/eV per cell; energy relative to the lowest polymorph listed for this composition = 385 meV/atom; theoretical density = 10.75 g/cm³; space group = No. 119; raw formation energy = 0.311 eV per atom
1.0
4.1992 0.0000 0.0000
0.0000 4.1992 0.0000
-2.0996 -2.0996 5.1800
Tl Rh Br
2 1 1
Direct
0.0000 0.0000 0.0000
0.7500 0.2500 0.5000
0.2500 0.7500 0.5000
0.5000 0.5000 0.0000

(5)
Sr2LiBeB3O8 | the Alexandria database | SCAN | PBEsol geometry; density of states at the Fermi level = 0.00 states/eV per cell; theoretical density = 3.42 g/cm³; space group = No. 14; raw formation energy = -2.949 eV per atom
1.0
6.4617 0.0000 0.0000
0.0000 8.6018 -0.0236
0.0000 -3.7331 12.2982
Sr Li Be B O
8 4 4 12 32
Direct
0.7552 0.6428 0.5752
0.2552 0.3572 0.9248
0.2448 0.3572 0.4248
0.7448 0.6428 0.0752
0.1029 0.0361 0.6568
0.6029 0.9639 0.8432
0.8971 0.9639 0.3432
0.3971 0.0361 0.1568
0.2303 0.6251 0.6703
0.7303 0.3749 0.8297
0.7697 0.3749 0.3297
0.2697 0.6251 0.1703
0.4266 0.3225 0.6522
0.9266 0.6775 0.8478
0.5734 0.6775 0.3478
0.0734 0.3225 0.1522
0.7351 0.2592 0.5131
0.2351 0.7408 0.9869
0.2649 0.7408 0.4869
0.7649 0.2592 0.0131
0.6478 0.0610 0.6186
0.1478 0.9390 0.8814
0.3522 0.9390 0.3814
0.8522 0.0610 0.1186
0.5479 0.5945 0.7949
0.0479 0.4055 0.7051
0.4521 0.4055 0.2051
0.9521 0.5945 0.2949
0.7740 0.1153 0.5441
0.2740 0.8847 0.9559
0.2260 0.8847 0.4559
0.7260 0.1153 0.0441
0.5743 0.3598 0.5587
0.0743 0.6402 0.9413
0.4257 0.6402 0.4413
0.9257 0.3598 0.0587
0.8623 0.2852 0.4364
0.3623 0.7148 0.0636
0.1377 0.7148 0.5636
0.6377 0.2852 0.9364
0.4652 0.1362 0.6537
0.9652 0.8638 0.8463
0.5348 0.8638 0.3463
0.0348 0.1362 0.1537
0.7311 0.9411 0.6538
0.2311 0.0589 0.8462
0.2689 0.0589 0.3462
0.7689 0.9411 0.1538
0.4728 0.4374 0.7758
0.9728 0.5626 0.7242
0.5272 0.5626 0.2242
0.0272 0.4374 0.2758
0.1898 0.3531 0.6197
0.6898 0.6469 0.8803
0.8102 0.6469 0.3803
0.3102 0.3531 0.1197
0.4933 0.6908 0.7318
0.9933 0.3092 0.7682
0.5067 0.3092 0.2682
0.0067 0.6908 0.2318

(6)
TaIn2Sb | the Alexandria database | SCAN | PBEsol geometry; density of states at the Fermi level = 2.65 states/eV per cell; theoretical density = 9.97 g/cm³; space group = No. 166; raw formation energy = 0.321 eV per atom
1.0
-1.0046 -2.7896 0.9510
1.8445 -2.4940 -0.2700
4.2111 0.1044 9.8518
In Sb Ta
2 1 1
Direct
0.2579 0.2579 0.2262
0.7421 0.7421 0.7738
0.5000 0.5000 0.5000
0.0000 0.0000 0.0000

(7)
HfScMnSn2 | the Alexandria database | SCAN | PBEsol geometry; density of states at the Fermi level = 3.72 states/eV per cell; calculated formation energy = 15.21 kJ/mol of atoms; theoretical density = 7.78 g/cm³; space group = No. 123
1.0
-2.9267 -3.4796 0.8939
2.2515 -2.7505 -3.3347
3.0347 -1.6719 3.4279
Sc Mn Hf Sn
1 1 1 2
Direct
0.5000 0.5000 0.5000
0.0000 0.0000 0.0000
0.5000 0.0000 0.0000
0.0000 0.0000 0.5000
0.0000 0.5000 0.0000

(8)
LaCdIr2 | the Alexandria database | SCAN | PBEsol geometry; density of states at the Fermi level = 3.83 states/eV per cell; calculated formation energy = -32.16 kJ/mol of atoms; theoretical density = 12.15 g/cm³; space group = No. 38
1.0
4.1357 0.0000 0.0000
0.0000 4.2707 0.0000
-2.0678 0.0000 4.9203
Cd Ir La
1 2 1
Direct
0.7737 0.5000 0.5473
0.1850 0.0000 0.3699
0.0638 0.5000 0.1276
0.4747 0.0000 0.9495

(9)
Tl2RhAu | the Alexandria database | SCAN | PBEsol geometry; density of states at the Fermi level = 2.93 states/eV per cell; calculated formation energy = 33.60 kJ/mol of atoms; theoretical density = 15.07 g/cm³; space group = No. 216
1.0
4.7976 0.0000 0.0000
2.3988 4.1549 0.0000
2.3988 1.3850 3.9173
Au Rh Tl
1 1 2
Direct
0.5000 0.5000 0.5000
0.2500 0.2500 0.2500
0.0000 0.0000 0.0000
0.7500 0.7500 0.7500

(10)
KNbSiRh2 | the Alexandria database | SCAN | PBEsol geometry; density of states at the Fermi level = 3.25 states/eV per cell; theoretical density = 6.08 g/cm³; space group = No. 123; raw formation energy = 0.876 eV per atom
1.0
-2.9635 3.0738 -1.1466
-0.8090 -2.1821 -3.7588
-3.6771 -2.6714 2.3422
Si Nb Rh K
1 1 2 1
Direct
0.0000 0.0000 0.0000
0.5000 0.5000 0.5000
0.0000 0.5000 0.0000
0.5000 0.0000 0.0000
0.0000 0.0000 0.5000

(11)
Be3Te2 | the Alexandria database | SCAN | PBEsol geometry; density of states at the Fermi level = 1.36 states/eV per cell; theoretical density = 5.38 g/cm³; space group = No. 164; raw formation energy = 0.390 eV per atom
1.0
3.8018 0.0000 0.0000
-1.9009 3.2924 0.0000
0.0000 0.0000 6.9574
Be Te
3 2
Direct
0.0000 0.0000 0.0000
0.3333 0.6667 0.4351
0.6667 0.3333 0.5649
0.3333 0.6667 0.7820
0.6667 0.3333 0.2180

(12)
LiHgPb | the Alexandria database | SCAN | PBEsol geometry; density of states at the Fermi level = 0.99 states/eV per cell; energy relative to the lowest polymorph listed for this composition = 68 meV/atom; calculated formation energy = -20.74 kJ/mol of atoms; theoretical density = 10.15 g/cm³; space group = No. 156
1.0
-0.1284 -2.9442 2.0168
4.5247 0.5430 1.0807
-3.2996 1.9751 2.6734
Pb Hg Li
1 1 1
Direct
0.3329 0.6667 0.3333
0.8318 0.0000 0.0000
0.8354 0.3333 0.6667

(13)
CaCuPt | the Alexandria database | SCAN | PBEsol geometry; density of states at the Fermi level = 0.95 states/eV per cell; calculated formation energy = -59.04 kJ/mol of atoms; theoretical density = 8.56 g/cm³; space group = No. 187
1.0
-3.4365 -1.0305 1.0371
-0.5865 -1.8362 -3.7679
1.6353 -2.2256 3.2071
Ca Cu Pt
1 1 1
Direct
0.5000 0.0000 0.0000
0.0000 0.3333 0.6667
0.0000 0.6667 0.3333

(14)
ThPb3 | the Alexandria database | SCAN | PBEsol geometry; density of states at the Fermi level = 2.79 states/eV per cell; calculated formation energy = -32.58 kJ/mol of atoms; theoretical density = 12.63 g/cm³; space group = No. 221
1.0
4.8230 0.0000 0.0000
0.0000 4.8230 0.0000
0.0000 0.0000 4.8230
Pb Th
3 1
Direct
0.0000 0.5000 0.5000
0.5000 0.5000 0.0000
0.5000 0.0000 0.5000
0.0000 0.0000 0.0000

(15)
YGeSeBr2 | the Alexandria database | SCAN | PBEsol geometry; density of states at the Fermi level = 1.91 states/eV per cell; theoretical density = 4.18 g/cm³; space group = No. 123; raw formation energy = -0.786 eV per atom
1.0
-5.2581 -1.0228 -0.5178
0.8552 -5.1183 1.4261
-0.7782 1.3364 5.2632
Y Ge Se Br
1 1 1 2
Direct
0.0000 0.0000 0.0000
0.5000 0.5000 0.5000
0.0000 0.0000 0.5000
0.0000 0.5000 0.0000
0.5000 0.0000 0.0000

(16)
AlPPt | the Alexandria database | SCAN | PBEsol geometry; density of states at the Fermi level = 0.93 states/eV per cell; calculated formation energy = -24.13 kJ/mol of atoms; theoretical density = 9.61 g/cm³; space group = No. 107
1.0
-1.4909 2.3850 0.1718
-0.7303 -0.2614 -2.7091
-3.3382 -3.9492 2.7465
P Al Pt
1 1 1
Direct
0.3369 0.3369 0.6738
0.0054 0.0054 0.0107
0.6578 0.6578 0.3155

(17)
DyTlO2 | the Alexandria database | SCAN | PBEsol geometry; density of states at the Fermi level = 0.00 states/eV per cell; theoretical density = 10.06 g/cm³; space group = No. 166; raw formation energy = -2.587 eV per atom
1.0
-0.0105 0.3141 -3.4401
-2.3658 -1.6737 -1.8800
-4.7055 4.5517 -1.3045
Tl O Dy
1 2 1
Direct
0.0000 0.0000 0.0000
0.2246 0.2246 0.3263
0.7754 0.7754 0.6737
0.5000 0.5000 0.5000

(18)
TiCoOF2 | the Alexandria database | SCAN | PBEsol geometry; density of states at the Fermi level = 1.66 states/eV per cell; energy relative to the lowest polymorph listed for this composition = 0 meV/atom; theoretical density = 4.48 g/cm³; space group = No. 123; raw formation energy = -2.064 eV per atom
1.0
-2.4141 -2.9717 -0.0809
1.2663 -0.9301 -3.6210
2.7902 -2.3094 1.5690
F Co O Ti
2 1 1 1
Direct
0.0000 0.0000 0.5000
0.0000 0.5000 0.0000
0.5000 0.5000 0.5000
0.5000 0.0000 0.0000
0.0000 0.0000 0.0000

(19)
LiTa2Tl | the Alexandria database | SCAN | PBEsol geometry; density of states at the Fermi level = 2.14 states/eV per cell; calculated formation energy = 31.97 kJ/mol of atoms; theoretical density = 13.15 g/cm³; space group = No. 12
1.0
2.9467 -0.0063 0.0000
-0.7821 4.8409 0.0000
-1.0823 -2.4173 5.0761
Li Ta Tl
1 2 1
Direct
0.0000 0.5000 0.0000
0.0000 0.0000 0.5000
0.5000 0.5000 0.5000
0.5000 0.0000 0.0000

(20)
ZnCuTe2 | the Alexandria database | SCAN | PBEsol geometry; density of states at the Fermi level = 1.07 states/eV per cell; energy relative to the lowest polymorph listed for this composition = 350 meV/atom; theoretical density = 7.18 g/cm³; space group = No. 12; raw formation energy = 0.123 eV per atom
1.0
4.2676 0.0240 0.0349
-1.5207 4.6930 0.0419
-1.5207 -1.6444 4.3957
Cu Te Zn
1 2 1
Direct
0.5000 0.5000 0.5000
0.0000 0.5000 0.0000
0.0000 0.0000 0.5000
0.5000 0.0000 0.0000